1.
Density functional theory data (GGA-PBE) for a geometry-optimized TlRePb2O structure.

Summary:
size of the total moment	0.878	μB/atom
energy relative to the elements, uncorrected	184.0	kJ/mol of atoms
E	-3.53	eV per atom

```
5
Lattice="5.8613 0.0000 0.0000 0.0000 5.8613 0.0000 0.0000 0.0000 5.2877" Properties=species:S:1:pos:R:3 pbc="T T T"
Tl 0.0000 0.0000 0.0000
Re 0.0000 0.0000 2.6438
Pb 0.0000 2.9307 0.0000
Pb 2.9307 0.0000 0.0000
O 2.9307 2.9307 2.6438
```


2.
Density functional theory data (GGA-PBE) for a geometry-optimized TlRePbO4 structure.

Summary:
size of the total moment	0.000	μB/atom
energy relative to the elements, uncorrected	-110.3	kJ/mol of atoms
E	-6.62	eV per atom

```
14
Lattice="6.7858 0.0000 0.0000 0.0000 5.8942 0.0000 -0.3255 0.0000 8.5577" Properties=species:S:1:pos:R:3 pbc="T T T"
Tl 0.7845 1.4736 2.9829
Tl 5.6758 4.4207 5.5748
Re 2.4859 4.4207 2.5628
Re 3.9744 1.4736 5.9949
Pb 2.3074 4.4207 7.5528
Pb 4.1529 1.4736 1.0049
O 0.9698 4.4207 3.4600
O 2.5163 3.2095 1.0483
O 2.5163 5.6318 1.0483
O 2.4646 1.4736 5.1148
O 3.9957 4.4207 3.4429
O 3.9439 0.2624 7.5094
O 3.9439 2.6847 7.5094
O 5.4904 1.4736 5.0977
```


3.
Density functional theory data (GGA-PBE) for a geometry-optimized Tl2RePb2O6 structure.

Summary:
size of the total moment	0.092	μB/atom
energy relative to the elements, uncorrected	-107.2	kJ/mol of atoms
E	-6.05	eV per atom

```
11
Lattice="3.2497 -5.1201 0.0000 3.2497 5.1201 0.0000 -1.5452 0.0000 6.3582" Properties=species:S:1:pos:R:3 pbc="T T T"
Tl 3.2497 3.3680 0.0000
Tl 3.2497 -3.3680 0.0000
Re -0.7726 0.0000 3.1791
Pb 2.4771 1.6860 3.1791
Pb 2.4771 -1.6860 3.1791
O 0.1497 1.4377 4.1628
O 0.6457 0.0000 1.8596
O 0.1497 -1.4377 4.1628
O 4.8045 1.4377 2.1954
O 4.3084 0.0000 4.4986
O 4.8045 -1.4377 2.1954
```


4.
Density functional theory data (GGA-PBE) for a geometry-optimized TlRe2PbO8 structure.

Summary:
size of the total moment	0.000	μB/atom
energy relative to the elements, uncorrected	-138.2	kJ/mol of atoms
E	-7.32	eV per atom

```
12
Lattice="5.6372 -3.1780 0.0000 5.6372 3.1780 0.0000 -2.4588 0.0000 6.5875" Properties=species:S:1:pos:R:3 pbc="T T T"
Tl 0.0000 0.0000 0.0000
Re 0.6968 0.0000 4.4386
Re 8.1189 0.0000 2.1489
Pb 4.4078 0.0000 3.2938
O 3.3782 1.7248 1.6358
O 0.7001 0.0000 2.6770
O 5.4375 1.7248 4.9517
O 2.3973 0.0000 4.9600
O 6.4184 0.0000 1.6275
O 3.3782 -1.7248 1.6358
O 8.1155 0.0000 3.9105
O 5.4375 -1.7248 4.9517
```